(i)
DFT (PBE) results for a relaxed CuNi5Pd4 crystal.

abc: 2.6312 8.3032 8.8937
angles: 135.59 98.51 90.00
With the nearest neighbours (Å) after each atom.
Element x y z (fractional)
1 Cu 0.5000 0.0000 0.0000  6 Pd 2.54-2.79, 4 Ni 2.62, 2 Cu 2.63
2 Ni 0.7802 0.1779 0.5604  5 Pd 2.60-2.65, 6 Ni 2.63-2.77
3 Ni 0.8138 0.7066 0.6276  4 Pd 2.45-2.60, 2 Cu 2.62, 4 Ni 2.63-2.72
4 Ni 0.1862 0.2934 0.3724  4 Pd 2.45-2.60, 2 Cu 2.62, 4 Ni 2.63-2.72
5 Ni 0.5000 0.5000 0.0000  6 Pd 2.44-2.62, 2 Ni 2.63
6 Ni 0.2198 0.8221 0.4396  5 Pd 2.60-2.65, 6 Ni 2.63-2.77
7 Pd 0.3868 0.5701 0.7737  6 Ni 2.44-2.65, 1 Cu 2.54, 2 Pd 2.63
8 Pd 0.0919 0.8772 0.1838  6 Ni 2.53-2.64, 4 Pd 2.63-2.82, 2 Cu 2.79
9 Pd 0.6132 0.4299 0.2263  6 Ni 2.44-2.65, 1 Cu 2.54, 2 Pd 2.63
10 Pd 0.9081 0.1228 0.8162  6 Ni 2.53-2.64, 4 Pd 2.63-2.82, 2 Cu 2.79

N(E_F) = 17.14 states/eV per cell
density = 9.8 g/cm³

---

(ii)
DFT (PBE) results for a relaxed CuNi5Pd4 crystal.

abc: 4.1449 8.1382 8.0804
angles: 90.00 90.00 90.00
With the nearest neighbours (Å) after each atom.
Element x y z (fractional)
1 Cu 0.7504 0.0000 0.0000  6 Pd 2.59, 4 Ni 2.67
2 Cu 0.2496 0.5000 0.5000  6 Pd 2.59, 4 Ni 2.67
3 Ni 0.2498 0.7778 0.6763  3 Ni 2.30-2.43, 1 Pd 2.54
4 Ni 0.2498 0.2222 0.6763  3 Ni 2.30-2.43, 1 Pd 2.54
5 Ni 0.7531 0.5000 0.0000  4 Ni 2.30, 4 Pd 2.53
6 Ni 0.2498 0.7778 0.3237  3 Ni 2.30-2.43, 1 Pd 2.54
7 Ni 0.2498 0.2222 0.3237  3 Ni 2.30-2.43, 1 Pd 2.54
8 Ni 0.7502 0.7222 0.1763  3 Ni 2.30-2.43, 1 Pd 2.54
9 Ni 0.7502 0.2778 0.1763  3 Ni 2.30-2.43, 1 Pd 2.54
10 Ni 0.2469 0.0000 0.5000  4 Ni 2.30, 4 Pd 2.53
11 Ni 0.7502 0.2778 0.8237  3 Ni 2.30-2.43, 1 Pd 2.54
12 Ni 0.7502 0.7222 0.8237  3 Ni 2.30-2.43, 1 Pd 2.54
13 Pd 0.7476 0.0000 0.6795  8 Ni 2.53-2.76, 1 Cu 2.59
14 Pd 0.2502 0.8091 0.0000  2 Cu 2.59, 6 Ni 2.61-2.63
15 Pd 0.2502 0.1909 0.0000  2 Cu 2.59, 6 Ni 2.61-2.63
16 Pd 0.7476 0.0000 0.3205  8 Ni 2.53-2.76, 1 Cu 2.59
17 Pd 0.2524 0.5000 0.1795  8 Ni 2.53-2.76, 1 Cu 2.59
18 Pd 0.7498 0.6909 0.5000  2 Cu 2.59, 6 Ni 2.61-2.63
19 Pd 0.7498 0.3091 0.5000  2 Cu 2.59, 6 Ni 2.61-2.63
20 Pd 0.2524 0.5000 0.8205  8 Ni 2.53-2.76, 1 Cu 2.59

N(E_F) = 32.76 states/eV per cell
density = 9.5 g/cm³

---

Most stable: (i)

---

(i)
DFT (PBE) results for a relaxed Cu2Ni3Pd4 crystal.

abc: 2.6995 7.1916 6.9869
angles: 115.23 101.14 90.00
With the nearest neighbours (Å) after each atom.
Element x y z (fractional)
1 Cu 0.6684 0.9886 0.3369  5 Ni 2.55-2.71, 4 Cu 2.56-2.70, 3 Pd 2.59-2.62
2 Cu 0.3316 0.0114 0.6631  5 Ni 2.55-2.71, 4 Cu 2.56-2.70, 3 Pd 2.59-2.62
3 Ni 0.1456 0.6709 0.2911  3 Cu 2.55-2.66, 6 Pd 2.58-2.68, 2 Ni 2.70
4 Ni 0.8544 0.3291 0.7089  3 Cu 2.55-2.66, 6 Pd 2.58-2.68, 2 Ni 2.70
5 Ni 0.0000 0.0000 0.0000  6 Pd 2.62-2.63, 2 Ni 2.70, 4 Cu 2.71
6 Pd 0.4810 0.6717 0.9619  1 Cu 2.59, 6 Ni 2.63-2.68, 5 Pd 2.70-2.75
7 Pd 0.1911 0.3169 0.3821  4 Ni 2.58-2.87, 2 Cu 2.62, 6 Pd 2.70-2.77
8 Pd 0.5190 0.3283 0.0381  1 Cu 2.59, 6 Ni 2.63-2.68, 5 Pd 2.70-2.75
9 Pd 0.8089 0.6831 0.6179  4 Ni 2.58-2.87, 2 Cu 2.62, 6 Pd 2.70-2.77

N(E_F) = 13.23 states/eV per cell
density = 10.1 g/cm³

---

(ii)
DFT (PBE) results for a relaxed Cu2Ni3Pd4 crystal.

abc: 2.6756 2.6756 19.7089
angles: 90.00 90.00 120.00
With the nearest neighbours (Å) after each atom.
Element x y z (fractional)
1 Cu 0.6667 0.3333 0.0814  3 Ni 2.51, 1 Pd 2.54, 6 Cu 2.68
2 Cu 0.6667 0.3333 0.8804  3 Ni 2.52, 6 Cu 2.68, 3 Pd 2.69
3 Ni 0.0000 0.0000 0.9812  6 Cu 2.51-2.52, 6 Ni 2.68
4 Ni 0.0000 0.0000 0.3191  6 Pd 2.64-2.65, 6 Ni 2.68
5 Ni 0.6667 0.3333 0.6586  6 Pd 2.64-2.66, 6 Ni 2.68
6 Pd 0.0000 0.0000 0.5503  3 Ni 2.64, 9 Pd 2.68-2.87
7 Pd 0.6667 0.3333 0.4275  3 Ni 2.64, 9 Pd 2.68-2.87
8 Pd 0.6667 0.3333 0.2101  1 Cu 2.54, 3 Ni 2.65, 6 Pd 2.68
9 Pd 0.0000 0.0000 0.7685  3 Ni 2.66, 6 Pd 2.68, 3 Cu 2.69

N(E_F) = 14.82 states/eV per cell
density = 9.9 g/cm³

---

Most stable: (i)

---

(i)
DFT (PBE) results for a relaxed Cu5Ni2Pd crystal.

abc: 3.6392 8.1436 6.8284
angles: 83.31 105.45 90.00
With the nearest neighbours (Å) after each atom.
Element x y z (fractional)
1 Cu 0.6901 0.5617 0.8802  4 Ni 2.51-2.59, 7 Cu 2.53-2.57, 1 Pd 2.61
2 Cu 0.2500 0.7500 0.0000  8 Cu 2.53-2.57, 4 Ni 2.53
3 Cu 0.7500 0.2500 0.0000  8 Cu 2.53-2.57, 4 Ni 2.53
4 Cu 0.0662 0.6872 0.6323  5 Cu 2.53-2.64, 4 Ni 2.55-2.67, 3 Pd 2.59
5 Cu 0.9338 0.3128 0.3677  5 Cu 2.53-2.64, 4 Ni 2.55-2.67, 3 Pd 2.59
6 Cu 0.5662 0.1872 0.6323  5 Cu 2.53-2.64, 4 Ni 2.55-2.67, 3 Pd 2.59
7 Cu 0.4338 0.8128 0.3677  5 Cu 2.53-2.64, 4 Ni 2.55-2.67, 3 Pd 2.59
8 Cu 0.3099 0.4383 0.1198  4 Ni 2.51-2.59, 7 Cu 2.53-2.57, 1 Pd 2.61
9 Cu 0.1901 0.0617 0.8802  4 Ni 2.51-2.59, 7 Cu 2.53-2.57, 1 Pd 2.61
10 Cu 0.8099 0.9383 0.1198  4 Ni 2.51-2.59, 7 Cu 2.53-2.57, 1 Pd 2.61
11 Ni 0.1292 0.3704 0.7584  10 Cu 2.51-2.67, 2 Pd 2.62
12 Ni 0.6292 0.8704 0.7584  10 Cu 2.51-2.67, 2 Pd 2.62
13 Ni 0.8708 0.6296 0.2416  10 Cu 2.51-2.67, 2 Pd 2.62
14 Ni 0.3708 0.1296 0.2416  10 Cu 2.51-2.67, 2 Pd 2.62
15 Pd 0.0000 0.0000 0.5000  8 Cu 2.59-2.61, 4 Ni 2.62
16 Pd 0.5000 0.5000 0.5000  8 Cu 2.59-2.61, 4 Ni 2.62

N(E_F) = 15.23 states/eV per cell
density = 9.3 g/cm³

---

(ii)
DFT (PBE) results for a relaxed Cu5Ni2Pd crystal.

abc: 6.3107 6.3107 6.7608
angles: 117.82 117.82 90.00
With the nearest neighbours (Å) after each atom.
Element x y z (fractional)
1 Cu 0.4879 0.6931 0.6810  3 Ni 2.44-2.49, 2 Pd 2.58, 4 Cu 2.59-2.63
2 Cu 0.8069 0.0121 0.3190  3 Ni 2.44-2.49, 2 Pd 2.58, 4 Cu 2.59-2.63
3 Cu 0.0000 0.0000 0.0000  4 Ni 2.43, 2 Pd 2.54
4 Cu 0.5000 0.5000 0.0000  4 Ni 2.43, 2 Pd 2.54
5 Cu 0.1931 0.9879 0.6810  3 Ni 2.44-2.49, 2 Pd 2.58, 4 Cu 2.59-2.63
6 Cu 0.6931 0.1931 0.6810  3 Ni 2.44-2.49, 2 Pd 2.58, 4 Cu 2.59-2.63
7 Cu 0.9879 0.4879 0.6810  3 Ni 2.44-2.49, 2 Pd 2.58, 4 Cu 2.59-2.63
8 Cu 0.3069 0.8069 0.3190  3 Ni 2.44-2.49, 2 Pd 2.58, 4 Cu 2.59-2.63
9 Cu 0.0121 0.5121 0.3190  3 Ni 2.44-2.49, 2 Pd 2.58, 4 Cu 2.59-2.63
10 Cu 0.5121 0.3069 0.3190  3 Ni 2.44-2.49, 2 Pd 2.58, 4 Cu 2.59-2.63
11 Ni 0.1415 0.3585 0.0000  8 Cu 2.43-2.49, 1 Ni 2.53
12 Ni 0.6415 0.1415 0.0000  8 Cu 2.43-2.49, 1 Ni 2.53
13 Ni 0.3585 0.8585 0.0000  8 Cu 2.43-2.49, 1 Ni 2.53
14 Ni 0.8585 0.6415 0.0000  8 Cu 2.43-2.49, 1 Ni 2.53
15 Pd 0.7500 0.7500 0.5000  10 Cu 2.54-2.58
16 Pd 0.2500 0.2500 0.5000  10 Cu 2.54-2.58

N(E_F) = 19.09 states/eV per cell
density = 8.9 g/cm³

---

Most stable: (i)

---

(i)
DFT (PBE) results for a relaxed Cu6NiPd12 crystal.

abc: 6.6578 7.1979 7.1979
angles: 69.06 72.04 107.96
With the nearest neighbours (Å) after each atom.
Element x y z (fractional)
1 Cu 0.4211 0.4720 0.2118  9 Pd 2.68-2.75, 3 Cu 2.71-2.73
2 Cu 0.0509 0.6838 0.5280  9 Pd 2.68-2.75, 3 Cu 2.71-2.73
3 Cu 0.3671 0.7882 0.6838  9 Pd 2.68-2.75, 3 Cu 2.71-2.73
4 Cu 0.5789 0.5280 0.7882  9 Pd 2.68-2.75, 3 Cu 2.71-2.73
5 Cu 0.9491 0.3162 0.4720  9 Pd 2.68-2.75, 3 Cu 2.71-2.73
6 Cu 0.6329 0.2118 0.3162  9 Pd 2.68-2.75, 3 Cu 2.71-2.73
7 Ni 0.0000 0.0000 0.0000  12 Pd 2.73
8 Pd 0.5258 0.8435 0.2670  4 Cu 2.68-2.75, 7 Pd 2.69-2.76, 1 Ni 2.73
9 Pd 0.6823 0.8895 0.8435  4 Cu 2.68-2.75, 7 Pd 2.69-2.76, 1 Ni 2.73
10 Pd 0.7928 0.2670 0.8895  4 Cu 2.68-2.75, 7 Pd 2.69-2.76, 1 Ni 2.73
11 Pd 0.4742 0.1565 0.7330  4 Cu 2.68-2.75, 7 Pd 2.69-2.76, 1 Ni 2.73
12 Pd 0.3177 0.1105 0.1565  4 Cu 2.68-2.75, 7 Pd 2.69-2.76, 1 Ni 2.73
13 Pd 0.2072 0.7330 0.1105  4 Cu 2.68-2.75, 7 Pd 2.69-2.76, 1 Ni 2.73
14 Pd 0.2612 0.4236 0.6302  6 Pd 2.69-2.75, 5 Cu 2.70-2.73, 1 Ni 2.73
15 Pd 0.1086 0.3698 0.0537  6 Pd 2.69-2.75, 5 Cu 2.70-2.73, 1 Ni 2.73
16 Pd 0.1623 0.0537 0.5764  6 Pd 2.69-2.75, 5 Cu 2.70-2.73, 1 Ni 2.73
17 Pd 0.7388 0.5764 0.3698  6 Pd 2.69-2.75, 5 Cu 2.70-2.73, 1 Ni 2.73
18 Pd 0.8914 0.6302 0.9463  6 Pd 2.69-2.75, 5 Cu 2.70-2.73, 1 Ni 2.73
19 Pd 0.8377 0.9463 0.4236  6 Pd 2.69-2.75, 5 Cu 2.70-2.73, 1 Ni 2.73

N(E_F) = 26.39 states/eV per cell
density = 10.5 g/cm³

---

(ii)
DFT (PBE) results for a relaxed Cu6NiPd12 crystal.

abc: 6.5048 6.5048 6.5048
angles: 88.74 88.74 88.74
With the nearest neighbours (Å) after each atom.
Element x y z (fractional)
1 Cu 0.7372 0.8896 0.2661  1 Ni 2.51, 6 Pd 2.60-2.67, 2 Cu 2.61
2 Cu 0.7339 0.2628 0.1104  1 Ni 2.51, 6 Pd 2.60-2.67, 2 Cu 2.61
3 Cu 0.1104 0.7339 0.2628  1 Ni 2.51, 6 Pd 2.60-2.67, 2 Cu 2.61
4 Cu 0.2628 0.1104 0.7339  1 Ni 2.51, 6 Pd 2.60-2.67, 2 Cu 2.61
5 Cu 0.2661 0.7372 0.8896  1 Ni 2.51, 6 Pd 2.60-2.67, 2 Cu 2.61
6 Cu 0.8896 0.2661 0.7372  1 Ni 2.51, 6 Pd 2.60-2.67, 2 Cu 2.61
7 Ni 0.0000 0.0000 0.0000  6 Cu 2.51, 6 Pd 2.62
8 Pd 0.8021 0.5295 0.4380  4 Cu 2.60-2.83, 5 Pd 2.69-2.86
9 Pd 0.4380 0.8021 0.5295  4 Cu 2.60-2.83, 5 Pd 2.69-2.86
10 Pd 0.5295 0.4380 0.8021  4 Cu 2.60-2.83, 5 Pd 2.69-2.86
11 Pd 0.1979 0.4705 0.5620  4 Cu 2.60-2.83, 5 Pd 2.69-2.86
12 Pd 0.5620 0.1979 0.4705  4 Cu 2.60-2.83, 5 Pd 2.69-2.86
13 Pd 0.4705 0.5620 0.1979  4 Cu 2.60-2.83, 5 Pd 2.69-2.86
14 Pd 0.0255 0.1536 0.3679  1 Ni 2.62, 5 Pd 2.63-2.86, 5 Cu 2.63-2.87
15 Pd 0.8464 0.6321 0.9745  1 Ni 2.62, 5 Pd 2.63-2.86, 5 Cu 2.63-2.87
16 Pd 0.6321 0.9745 0.8464  1 Ni 2.62, 5 Pd 2.63-2.86, 5 Cu 2.63-2.87
17 Pd 0.9745 0.8464 0.6321  1 Ni 2.62, 5 Pd 2.63-2.86, 5 Cu 2.63-2.87
18 Pd 0.1536 0.3679 0.0255  1 Ni 2.62, 5 Pd 2.63-2.86, 5 Cu 2.63-2.87
19 Pd 0.3679 0.0255 0.1536  1 Ni 2.62, 5 Pd 2.63-2.86, 5 Cu 2.63-2.87

N(E_F) = 26.10 states/eV per cell
density = 10.4 g/cm³

---

Most stable: (i)

---

(i)
DFT (PBE) results for a relaxed CuNi3Pd crystal.

abc: 4.2530 4.2530 4.2530
angles: 90.00 90.00 90.00
With the nearest neighbours (Å) after each atom.
Element x y z (fractional)
1 Ni 0.0000 0.5000 0.0000  2 Cu 2.13
2 Ni 0.0000 0.0000 0.5000  2 Cu 2.13
3 Ni 0.5000 0.0000 0.0000  2 Cu 2.13
4 Cu 0.0000 0.0000 0.0000  6 Ni 2.13
5 Pd 0.5000 0.5000 0.5000  12 Ni 3.01

N(E_F) = 9.17 states/eV per cell
density = 7.5 g/cm³

---

(ii)
DFT (PBE) results for a relaxed CuNi3Pd crystal.

abc: 3.5599 6.8752 5.2099
angles: 79.12 90.00 105.00
With the nearest neighbours (Å) after each atom.
Element x y z (fractional)
1 Cu 0.4993 0.9986 0.2640  2 Cu 2.46-2.75, 6 Ni 2.54-2.66, 4 Pd 2.62-2.63
2 Cu 0.5007 0.0014 0.7360  2 Cu 2.46-2.75, 6 Ni 2.54-2.66, 4 Pd 2.62-2.63
3 Ni 0.1028 0.2056 0.4493  6 Ni 2.50-2.68, 4 Cu 2.54-2.55, 2 Pd 2.60-2.61
4 Ni 0.8972 0.7944 0.5507  6 Ni 2.50-2.68, 4 Cu 2.54-2.55, 2 Pd 2.60-2.61
5 Ni 0.2950 0.5900 0.3606  9 Ni 2.46-2.71, 2 Pd 2.59, 1 Cu 2.66
6 Ni 0.7050 0.4100 0.6394  9 Ni 2.46-2.71, 2 Pd 2.59, 1 Cu 2.66
7 Ni 0.2992 0.5984 0.8384  8 Ni 2.50-2.71, 3 Pd 2.55-2.57, 1 Cu 2.62
8 Ni 0.7008 0.4016 0.1616  8 Ni 2.50-2.71, 3 Pd 2.55-2.57, 1 Cu 2.62
9 Pd 0.8961 0.7923 0.0514  7 Ni 2.55-2.61, 4 Cu 2.62-2.63, 1 Pd 2.71
10 Pd 0.1039 0.2077 0.9486  7 Ni 2.55-2.61, 4 Cu 2.62-2.63, 1 Pd 2.71

N(E_F) = 14.55 states/eV per cell
density = 9.5 g/cm³

---

Most stable: (ii)